VASP calculation (PBE+U) on a relaxed structure of CaMnCdF6.

DOS at the Fermi energy = 0.000 states/eV per atom
raw total energy = -95.95 eV for the cell shown
space group = P4_2nm

Cell lengths 5.1339, 5.1339, 10.4977 Å; angles 90.00, 90.00, 90.00 degrees
Fractional coordinates of all 18 atoms:
1 Ca 0.5000 0.5000 0.4995
2 Ca 0.0000 0.0000 0.9995
3 Mn 0.5000 0.5000 0.8333
4 Mn 0.0000 0.0000 0.3333
5 Cd 0.5000 0.5000 0.1673
6 Cd 0.0000 0.0000 0.6673
7 F 0.1887 0.8113 0.4930
8 F 0.8113 0.1887 0.4930
9 F 0.3113 0.3113 0.9930
10 F 0.6887 0.6887 0.9930
11 F 0.1898 0.8102 0.1737
12 F 0.8102 0.1898 0.1737
13 F 0.3102 0.3102 0.6737
14 F 0.6898 0.6898 0.6737
15 F 0.7956 0.2044 0.8333
16 F 0.2044 0.7956 0.8333
17 F 0.7044 0.7044 0.3333
18 F 0.2956 0.2956 0.3333